Entry 1:
# PuZnB | OQMD | PBE | optimized geometry
data_PuZnB
_chemical_formula_sum 'Pu1 Zn1 B1'
_symmetry_space_group_name_H-M 'P 1'
_symmetry_Int_Tables_number 1
_cell_length_a 4.160
_cell_length_b 4.160
_cell_length_c 4.160
_cell_angle_alpha 60.00
_cell_angle_beta 60.00
_cell_angle_gamma 60.00
loop_
_symmetry_equiv_pos_as_xyz
'x,y,z'
loop_
_atom_site_label
_atom_site_fract_x
_atom_site_fract_y
_atom_site_fract_z
B1 0.000 0.000 0.000
Pu1 0.250 0.250 0.250
Zn1 0.750 0.750 0.750
# - Spin magnetization: 5.0 μB per cell
# - SG: F-43m (216)
# - Polymorph energy (0 for the lowest one): 0 meV per atom
# - Crystal system: cubic
# - Calculated volume: 50.9 Å³/f.u.

***

Entry 2:
# ErMgHg6 | OQMD | PBE | optimized geometry
data_ErMgHg6
_chemical_formula_sum 'Er1 Mg1 Hg6'
_symmetry_space_group_name_H-M 'P 1'
_symmetry_Int_Tables_number 1
_cell_length_a 6.562
_cell_length_b 6.562
_cell_length_c 4.984
_cell_angle_alpha 90.00
_cell_angle_beta 90.00
_cell_angle_gamma 120.00
loop_
_symmetry_equiv_pos_as_xyz
'x,y,z'
loop_
_atom_site_label
_atom_site_fract_x
_atom_site_fract_y
_atom_site_fract_z
Er1 0.000 0.000 0.500
Hg1 0.333 0.167 0.000
Hg2 0.833 0.167 0.000
Hg3 0.833 0.667 0.000
Hg4 0.009 0.504 0.500
Hg5 0.496 0.504 0.500
Hg6 0.496 0.991 0.500
Mg1 0.333 0.667 0.000
# - Spin magnetization: 0.0 μB per cell
# - SG: P-6m2 (187)
# - Crystal system: hexagonal
# - VASP energy: -1.177 eV/atom
# - Calculated volume: 185.9 Å³/f.u.

***

Entry 3:
# MgHgSO | OQMD | PBE | optimized geometry
data_MgHgSO
_chemical_formula_sum 'Mg2 Hg2 S2 O2'
_symmetry_space_group_name_H-M 'P 1'
_symmetry_Int_Tables_number 1
_cell_length_a 6.772
_cell_length_b 6.772
_cell_length_c 5.958
_cell_angle_alpha 90.00
_cell_angle_beta 90.00
_cell_angle_gamma 31.95
loop_
_symmetry_equiv_pos_as_xyz
'x,y,z'
loop_
_atom_site_label
_atom_site_fract_x
_atom_site_fract_y
_atom_site_fract_z
Hg1 0.658 0.658 0.437
Hg2 0.342 0.342 0.937
Mg1 0.934 0.934 0.384
Mg2 0.066 0.066 0.884
O1 0.940 0.940 0.059
O2 0.060 0.060 0.559
S1 0.677 0.677 0.012
S2 0.323 0.323 0.512
# - SG: Cmc2_1 (36)
# - Polymorph energy (0 for the lowest one): 141 meV per atom
# - Crystal system: orthorhombic
# - Calculated volume: 72.3 Å³/f.u.